Entry from the Alexandria database: a relaxed structure of In12GaHg16 (PBE).

Structure (extended XYZ):
```
29
Lattice="8.786 -6.030 0.000 8.786 6.030 0.000 -0.763 0.000 7.363" Properties=species:S:1:pos:R:3 pbc="T T T"
In 0.000 0.000 0.000
In 3.247 0.000 1.632
In 9.321 4.241 2.646
In 6.775 1.742 3.141
In 8.628 2.517 0.023
In 9.990 1.678 4.557
In 6.775 -1.742 3.141
In 13.132 1.723 6.141
In 8.628 -2.517 0.023
In 9.990 -1.678 4.557
In 9.321 -4.241 2.646
In 13.132 -1.723 6.141
Ga 1.474 0.000 4.826
Hg 7.120 4.383 4.867
Hg 4.047 1.595 4.402
Hg 5.676 1.514 0.168
Hg 10.566 3.890 6.687
Hg 4.047 -1.595 4.402
Hg 5.676 -1.514 0.168
Hg 7.334 0.000 5.703
Hg 11.969 2.524 2.006
Hg 9.138 0.000 1.897
Hg 10.733 0.000 7.331
Hg 15.003 1.513 1.682
Hg 12.780 0.000 3.527
Hg 7.120 -4.383 4.867
Hg 11.969 -2.524 2.006
Hg 10.566 -3.890 6.687
Hg 15.003 -1.513 1.682
```

## Properties
Magnetic moment, μB per cell: 0.00
Fermi-level density of states, states/eV/atom: 0.324
Raw total energy, eV/atom: -1.381
SG: Cm (8)

=====

Entry from the Alexandria database: a relaxed structure of Er6Ru2Pt (PBE).

Structure (extended XYZ):
```
18
Lattice="-4.650 4.661 4.950 4.650 -4.661 4.950 4.650 4.661 -4.950" Properties=species:S:1:pos:R:3 pbc="T T T"
Er 4.650 2.886 -2.519
Er 2.906 0.000 1.674
Er 6.395 0.000 1.674
Er 2.176 3.004 0.000
Er 2.474 -1.657 4.950
Er 0.000 1.774 2.431
Er 4.650 2.886 2.519
Er 2.176 6.318 0.000
Er 2.474 1.657 4.950
Er -1.744 4.661 3.276
Er 1.744 4.661 3.276
Er 0.000 1.774 7.469
Ru 4.650 1.597 0.000
Ru 4.650 0.000 3.723
Ru 0.000 4.661 1.226
Ru 0.000 3.064 4.950
Pt 0.000 0.000 0.000
Pt 0.000 0.000 4.950
```

## Properties
ΔE to the lowest computed polymorph, kJ/mol of atoms: 0.00
Magnetic moment, μB per cell: 0.00
Fermi-level density of states, states/eV/atom: 0.731
Raw total energy, eV/atom: -6.321
SG: Immm (71)

=====

Entry from the Alexandria database: a relaxed structure of LaPr6Sm12 (PBE).

Structure (extended XYZ):
```
19
Lattice="6.152 3.552 5.116 -6.152 3.552 5.116 0.000 -7.103 5.116" Properties=species:S:1:pos:R:3 pbc="T T T"
La 0.000 0.000 0.000
Pr -1.039 -3.665 5.356
Pr -2.655 2.732 5.356
Pr -3.693 -0.933 9.993
Pr 3.693 0.933 5.356
Pr 2.655 -2.732 9.993
Pr 1.039 3.665 9.993
Sm -2.102 -0.085 2.937
Sm 1.124 -1.778 2.937
Sm -2.091 -0.496 6.395
Sm 0.978 1.863 2.937
Sm -0.616 -2.059 8.954
Sm 1.475 -1.563 6.395
Sm -1.475 1.563 8.954
Sm 0.616 2.059 6.395
Sm -0.978 -1.863 12.412
Sm 2.091 0.496 8.954
Sm -1.124 1.778 12.412
Sm 2.102 0.085 12.412
```

## Properties
ΔE to the lowest computed polymorph, kJ/mol of atoms: 0.00
Magnetic moment, μB per cell: 0.00
Fermi-level density of states, states/eV/atom: 1.560
Raw total energy, eV/atom: -4.615
SG: R-3 (148)

=====

Entry from the Alexandria database: a relaxed structure of AsPb2Au (PBE).

Structure (extended XYZ):
```
4
Lattice="5.111 0.000 0.000 0.000 5.111 0.000 0.000 0.000 3.849" Properties=species:S:1:pos:R:3 pbc="T T T"
As 0.000 0.000 0.000
Pb 0.000 2.556 1.924
Pb 2.556 0.000 1.924
Au 2.556 2.556 0.000
```

## Properties
Magnetic moment, μB per cell: 0.00
Fermi-level density of states, states/eV/atom: 0.752
Raw total energy, eV/atom: -3.754
SG: P4/mmm (123)

=====

Entry from the Alexandria database: a relaxed structure of KNa2W (PBE).

Structure (extended XYZ):
```
16
Lattice="9.253 0.000 0.000 0.000 9.253 0.000 0.000 0.000 7.068" Properties=species:S:1:pos:R:3 pbc="T T T"
K 0.000 0.000 0.000
K 0.000 4.626 1.767
K 4.626 0.000 5.301
K 4.626 4.626 3.534
Na 1.986 2.313 4.418
Na 2.313 6.612 6.185
Na 2.313 7.267 2.651
Na 2.641 2.313 0.884
Na 6.612 6.940 0.884
Na 6.940 1.986 2.651
Na 6.940 2.641 6.185
Na 7.267 6.940 4.418
W 0.000 0.000 3.534
W 0.000 4.626 5.301
W 4.626 0.000 1.767
W 4.626 4.626 0.000
```

## Properties
ΔE to the lowest computed polymorph, kJ/mol of atoms: 12.45
Magnetic moment, μB per cell: 19.41
Fermi-level density of states, states/eV/atom: 0.413
Raw total energy, eV/atom: -2.629
SG: I-42d (122)

=====

Entry from the Alexandria database: a relaxed structure of Ac7Pm3Tm (PBE).

Structure (extended XYZ):
```
11
Lattice="6.129 -5.581 0.000 6.129 5.581 0.000 -0.780 0.000 6.882" Properties=species:S:1:pos:R:3 pbc="T T T"
Ac 0.000 0.000 0.000
Ac 2.869 1.903 1.793
Ac 2.608 0.000 5.316
Ac 2.869 -1.903 1.793
Ac 8.609 1.903 5.089
Ac 8.871 0.000 1.566
Ac 8.609 -1.903 5.089
Pm 6.129 1.818 0.000
Pm 5.739 0.000 3.441
Pm 6.129 -1.818 0.000
Tm -0.390 0.000 3.441
```

## Properties
Magnetic moment, μB per cell: 0.00
Fermi-level density of states, states/eV/atom: 1.575
Raw total energy, eV/atom: -4.040
SG: C2/m (12)

=====

Entry from the Alexandria database: a relaxed structure of TcC2Se2 (PBE).

Structure (extended XYZ):
```
10
Lattice="4.976 0.000 0.000 0.000 4.976 0.000 0.000 0.000 5.516" Properties=species:S:1:pos:R:3 pbc="T T T"
Tc 0.000 0.000 0.000
Tc 2.488 2.488 2.758
C 0.000 0.000 2.117
C 0.000 0.000 3.399
C 2.488 2.488 0.641
C 2.488 2.488 4.875
Se 0.000 2.488 1.379
Se 0.000 2.488 4.137
Se 2.488 0.000 1.379
Se 2.488 0.000 4.137
```

## Properties
ΔE to the lowest computed polymorph, kJ/mol of atoms: 0.00
Magnetic moment, μB per cell: 0.00
Formation energy from raw total energies, eV per atom: 1.14
Fermi-level density of states, states/eV/atom: 0.773
Raw total energy, eV/atom: -6.021
SG: I4/mmm (139)

=====

Entry from the Alexandria database: a relaxed structure of Be2Nb2AlRu5 (PBE).

Structure (extended XYZ):
```
20
Lattice="9.277 0.000 0.000 0.000 9.277 0.000 0.000 0.000 3.127" Properties=species:S:1:pos:R:3 pbc="T T T"
Be 1.157 3.482 0.000
Be 3.482 8.120 0.000
Be 5.795 1.157 0.000
Be 8.120 5.795 0.000
Nb 1.619 6.258 0.000
Nb 3.019 1.619 0.000
Nb 6.258 7.658 0.000
Nb 7.658 3.019 0.000
Al 0.000 0.000 0.000
Al 4.639 4.639 0.000
Ru 0.000 4.639 1.564
Ru 0.666 1.925 1.564
Ru 1.925 8.611 1.564
Ru 2.714 3.972 1.564
Ru 3.972 6.563 1.564
Ru 4.639 0.000 1.564
Ru 5.305 2.714 1.564
Ru 6.563 5.305 1.564
Ru 7.352 0.666 1.564
Ru 8.611 7.352 1.564
```

## Properties
Magnetic moment, μB per cell: 0.00
Fermi-level density of states, states/eV/atom: 0.856
Raw total energy, eV/atom: -8.171
SG: P4/mbm (127)

=====

Entry from the Alexandria database: a relaxed structure of CeTm2Ag3 (PBE).

Structure (extended XYZ):
```
6
Lattice="3.577 0.000 0.000 0.000 3.577 0.000 0.000 0.000 11.232" Properties=species:S:1:pos:R:3 pbc="T T T"
Ce 0.000 0.000 0.000
Tm 0.000 0.000 3.809
Tm 0.000 0.000 7.423
Ag 1.789 1.789 2.094
Ag 1.789 1.789 5.616
Ag 1.789 1.789 9.138
```

## Properties
Magnetic moment, μB per cell: 1.30
Fermi-level density of states, states/eV/atom: 1.499
Raw total energy, eV/atom: -4.152
SG: P4/mmm (123)

=====

Entry from the Alexandria database: a relaxed structure of Ac2Pr4Sm2Dy (PBE).

Structure (extended XYZ):
```
9
Lattice="9.725 -1.886 0.000 9.725 1.886 0.000 -4.367 0.000 9.107" Properties=species:S:1:pos:R:3 pbc="T T T"
Ac 2.111 0.000 1.540
Ac 12.971 0.000 7.567
Pr -0.048 0.000 7.536
Pr 8.587 0.000 1.659
Pr 6.495 0.000 7.448
Pr 15.131 0.000 1.570
Sm 4.353 0.000 4.521
Sm 10.730 0.000 4.586
Dy -2.183 0.000 4.553
```

## Properties
Magnetic moment, μB per cell: 0.00
Fermi-level density of states, states/eV/atom: 1.332
Raw total energy, eV/atom: -4.562
SG: C2/m (12)

=====

Entry from the Alexandria database: a relaxed structure of Ag4Au (PBE).

Structure (extended XYZ):
```
15
Lattice="2.960 0.000 0.000 -1.480 2.563 0.000 0.000 0.000 35.494" Properties=species:S:1:pos:R:3 pbc="T T T"
Ag 0.000 0.000 3.540
Ag 0.000 0.000 10.647
Ag 0.000 0.000 24.847
Ag 0.000 0.000 31.954
Ag 0.000 1.709 13.016
Ag 0.000 1.709 20.123
Ag 0.000 1.709 27.202
Ag 0.000 1.709 34.309
Ag 1.480 0.854 1.185
Ag 1.480 0.854 8.292
Ag 1.480 0.854 15.371
Ag 1.480 0.854 22.478
Au 0.000 0.000 17.747
Au 0.000 1.709 5.916
Au 1.480 0.854 29.578
```

## Properties
ΔE to the lowest computed polymorph, kJ/mol of atoms: 2.73
Magnetic moment, μB per cell: 0.00
Fermi-level density of states, states/eV/atom: 0.368
Raw total energy, eV/atom: -2.929
SG: R-3m (166)

=====

Entry from the Alexandria database: a relaxed structure of Bi2IrPd (PBE).

Structure (extended XYZ):
```
16
Lattice="6.634 0.000 0.000 0.000 6.634 0.000 0.000 0.000 10.379" Properties=species:S:1:pos:R:3 pbc="T T T"
Bi 1.604 1.659 1.297
Bi 1.659 4.921 3.892
Bi 1.659 5.031 9.081
Bi 1.714 1.659 6.487
Bi 4.921 4.976 6.487
Bi 4.976 1.604 9.081
Bi 4.976 1.714 3.892
Bi 5.031 4.976 1.297
Ir 0.000 0.000 0.000
Ir 0.000 3.317 2.595
Ir 3.317 0.000 7.784
Ir 3.317 3.317 5.189
Pd 0.000 0.000 5.189
Pd 0.000 3.317 7.784
Pd 3.317 0.000 2.595
Pd 3.317 3.317 0.000
```

## Properties
Magnetic moment, μB per cell: 0.00
Fermi-level density of states, states/eV/atom: 0.512
Raw total energy, eV/atom: -5.126
SG: I-42d (122)